(1)
{
  "formula": "KRe2Ag",
  "functional": "meta-GGA SCAN",
  "state": "single point on PBEsol structure",
  "total_magnetization_mub_per_cell": 0.000,
  "e_form_ev_per_atom": 1.5183,
  "volume_a3_per_fu": 73.4,
  "sg": "I4/mmm",
  "lattice": [[-0.7459, 1.7782, 3.1790], [-2.2730, -2.7629, 1.0121], [5.5748, -1.9934, 0.2487]],
  "species": ["Ag", "K", "Re", "Re"],
  "fractional_positions": [[0.5000, 0.5000, 0.0000], [0.0000, 0.0000, 0.0000], [0.7500, 0.2500, 0.5000], [0.2500, 0.7500, 0.5000]]
}

=====

(2)
{
  "formula": "KReAg",
  "functional": "meta-GGA SCAN",
  "state": "single point on PBEsol structure",
  "total_magnetization_mub_per_cell": 1.776,
  "e_form_ev_per_atom": 1.4129,
  "volume_a3_per_fu": 60.4,
  "sg": "P3m1",
  "lattice": [[2.5957, 0.0000, 0.0000], [0.0000, 5.1821, 0.0000], [0.0000, -2.5911, 4.4878]],
  "species": ["Ag", "K", "Re"],
  "fractional_positions": [[0.9701, 0.0000, 0.0000], [0.6923, 0.3333, 0.6667], [0.3376, 0.6667, 0.3333]]
}

=====

(3)
{
  "formula": "KRe2Ag",
  "functional": "meta-GGA SCAN",
  "state": "single point on PBEsol structure",
  "total_magnetization_mub_per_cell": 0.000,
  "e_form_ev_per_atom": 1.2184,
  "volume_a3_per_fu": 70.7,
  "sg": "C2/m",
  "lattice": [[2.6066, -0.0328, 0.0000], [-0.7585, 5.0564, 0.0000], [-0.9241, -2.5118, 5.3724]],
  "species": ["Ag", "K", "Re", "Re"],
  "fractional_positions": [[0.5000, 0.0000, 0.0000], [0.0000, 0.5000, 0.0000], [0.0000, 0.0000, 0.5000], [0.5000, 0.5000, 0.5000]]
}

=====

(4)
{
  "formula": "KAgRh2",
  "functional": "meta-GGA SCAN",
  "state": "single point on PBEsol structure",
  "total_magnetization_mub_per_cell": 0.773,
  "e_form_ev_per_atom": 0.3302,
  "volume_a3_per_fu": 78.9,
  "sg": "Pmm2",
  "lattice": [[2.7952, 0.0000, 0.0000], [0.0000, 3.6597, 0.0000], [0.0000, 0.0000, 7.7097]],
  "species": ["Ag", "K", "Rh", "Rh"],
  "fractional_positions": [[0.0000, 0.0000, 0.4361], [0.5000, 0.5000, 0.7648], [0.0000, 0.0000, 0.0829], [0.5000, 0.5000, 0.2162]]
}

=====

(5)
{
  "formula": "K2AgRh",
  "functional": "meta-GGA SCAN",
  "state": "single point on PBEsol structure",
  "total_magnetization_mub_per_cell": 0.573,
  "e_form_ev_per_atom": 0.5865,
  "volume_a3_per_fu": 90.3,
  "sg": "Pmmm",
  "lattice": [[-1.5571, 2.2816, -0.9693], [-4.2565, -2.7717, 0.3138], [-0.7998, 1.8742, 5.7053]],
  "species": ["Ag", "K", "K", "Rh"],
  "fractional_positions": [[0.5000, 0.5000, 0.0000], [0.0011, 0.0000, 0.7416], [0.9989, 0.0000, 0.2584], [0.5000, 0.5000, 0.5000]]
}

=====

(6)
{
  "formula": "K2AgRh",
  "functional": "meta-GGA SCAN",
  "state": "single point on PBEsol structure",
  "total_magnetization_mub_per_cell": 0.008,
  "e_form_ev_per_atom": 0.5597,
  "volume_a3_per_fu": 91.4,
  "sg": "F-43m",
  "lattice": [[-4.3973, -2.3981, 0.6887], [-0.1406, -4.3171, 2.6276], [-2.1332, -0.1018, 4.5826]],
  "species": ["Ag", "K", "K", "Rh"],
  "fractional_positions": [[0.2500, 0.2500, 0.2500], [0.0000, 0.0000, 0.0000], [0.7500, 0.7500, 0.7500], [0.5000, 0.5000, 0.5000]]
}

=====

(7)
{
  "formula": "KAgRh2",
  "functional": "meta-GGA SCAN",
  "state": "single point on PBEsol structure",
  "total_magnetization_mub_per_cell": 0.001,
  "e_form_ev_per_atom": 0.5824,
  "volume_a3_per_fu": 69.5,
  "sg": "C2/m",
  "lattice": [[-0.5567, 0.5322, -2.6115], [4.5478, -1.2093, -1.2160], [-3.2063, -4.7210, 1.1407]],
  "species": ["Ag", "K", "Rh", "Rh"],
  "fractional_positions": [[0.0000, 0.5000, 0.0000], [0.5000, 0.0000, 0.0000], [0.2717, 0.2761, 0.5434], [0.7283, 0.7239, 0.4566]]
}

=====

(8)
{
  "formula": "KAgRhW2",
  "functional": "meta-GGA SCAN",
  "state": "single point on PBEsol structure",
  "total_magnetization_mub_per_cell": 2.198,
  "e_form_ev_per_atom": 2.9554,
  "volume_a3_per_fu": 118.5,
  "sg": "P4/mmm",
  "lattice": [[-1.5867, -3.1868, -3.2285], [4.0299, -2.5607, 0.5471], [-2.2244, -2.6981, 3.7565]],
  "species": ["K", "Rh", "Ag", "W", "W"],
  "fractional_positions": [[0.0000, 0.0000, 0.5000], [0.5000, 0.5000, 0.5000], [0.0000, 0.0000, 0.0000], [0.0000, 0.5000, 0.0000], [0.5000, 0.0000, 0.0000]]
}

=====

(9)
{
  "formula": "KAg2Ru",
  "functional": "meta-GGA SCAN",
  "state": "single point on PBEsol structure",
  "total_magnetization_mub_per_cell": 0.000,
  "e_form_ev_per_atom": 0.6713,
  "volume_a3_per_fu": 72.7,
  "sg": "P4/mmm",
  "lattice": [[2.6964, 0.0000, 0.0000], [0.0000, 5.1931, 0.0000], [0.0000, 0.0000, 5.1931]],
  "species": ["Ag", "Ag", "K", "Ru"],
  "fractional_positions": [[0.0000, 0.0000, 0.5000], [0.0000, 0.5000, 0.0000], [0.5000, 0.5000, 0.5000], [0.5000, 0.0000, 0.0000]]
}

=====

(10)
{
  "formula": "K2AgRu",
  "functional": "meta-GGA SCAN",
  "state": "single point on PBEsol structure",
  "total_magnetization_mub_per_cell": 1.353,
  "e_form_ev_per_atom": 0.7335,
  "volume_a3_per_fu": 117.9,
  "sg": "Pmm2",
  "lattice": [[-0.0952, -2.0961, 1.8417], [4.1627, 0.7700, 1.0917], [-2.9327, 6.1483, 6.8460]],
  "species": ["Ag", "K", "K", "Ru"],
  "fractional_positions": [[0.5000, 0.5000, 0.6628], [0.0000, 0.0000, 0.9063], [0.5000, 0.5000, 0.3420], [0.0000, 0.0000, 0.5890]]
}

=====

(11)
{
  "formula": "K2AgRu",
  "functional": "meta-GGA SCAN",
  "state": "single point on PBEsol structure",
  "total_magnetization_mub_per_cell": 2.443,
  "e_form_ev_per_atom": 0.9520,
  "volume_a3_per_fu": 96.4,
  "sg": "F-43m",
  "lattice": [[5.1475, 0.0000, 0.0000], [2.5737, 4.4579, 0.0000], [2.5737, 1.4860, 4.2029]],
  "species": ["Ag", "K", "K", "Ru"],
  "fractional_positions": [[0.5000, 0.5000, 0.5000], [0.0000, 0.0000, 0.0000], [0.7500, 0.7500, 0.7500], [0.2500, 0.2500, 0.2500]]
}

=====

(12)
{
  "formula": "KAg2Ru",
  "functional": "meta-GGA SCAN",
  "state": "single point on PBEsol structure",
  "total_magnetization_mub_per_cell": 0.000,
  "e_form_ev_per_atom": 0.7124,
  "volume_a3_per_fu": 75.8,
  "sg": "Imm2",
  "lattice": [[2.6946, 0.0000, 0.0000], [0.0000, 5.2136, 0.0000], [-1.3473, -2.6068, 5.3933]],
  "species": ["Ag", "Ag", "K", "Ru"],
  "fractional_positions": [[0.9961, 0.9961, 0.9922], [0.7267, 0.2267, 0.4535], [0.5009, 0.5009, 0.0018], [0.2763, 0.7763, 0.5526]]
}

=====

(13)
{
  "formula": "KAg2Ru",
  "functional": "meta-GGA SCAN",
  "state": "single point on PBEsol structure",
  "total_magnetization_mub_per_cell": 0.000,
  "e_form_ev_per_atom": 0.5945,
  "volume_a3_per_fu": 80.8,
  "sg": "Pmmm",
  "lattice": [[-0.9678, -0.0340, -2.5143], [0.2844, -4.0818, -0.0543], [-6.8185, -0.5101, 2.6314]],
  "species": ["Ag", "Ag", "K", "Ru"],
  "fractional_positions": [[0.0000, 0.0000, 0.6836], [0.0000, 0.0000, 0.3164], [0.5000, 0.5000, 0.0000], [0.5000, 0.5000, 0.5000]]
}

=====

(14)
{
  "formula": "KAg2S2",
  "functional": "meta-GGA SCAN",
  "state": "single point on PBEsol structure",
  "total_magnetization_mub_per_cell": 0.000,
  "formation_energy_uncorrected_mev_per_atom": -386,
  "volume_a3_per_fu": 115.5,
  "sg": "I4/mmm",
  "lattice": [[4.8999, 0.0000, 0.0000], [0.0000, 4.8999, 0.0000], [-2.4500, -2.4500, 4.8126]],
  "species": ["K", "S", "S", "Ag", "Ag"],
  "fractional_positions": [[0.0000, 0.0000, 0.0000], [0.2500, 0.7500, 0.5000], [0.7500, 0.2500, 0.5000], [0.3167, 0.3167, 0.6333], [0.6833, 0.6833, 0.3667]]
}

=====

no.,mass density (g/cm3)
1,11.75
2,9.16
3,12.20
4,7.43
5,5.32
6,5.25
7,8.43
8,8.65
9,8.13
10,4.04
11,4.94
12,7.80
13,7.32
14,4.58